Model w:
This record from the Alexandria database describes a geometry-optimized Tb4Dy7Er structure. The functional is GGA-PBE.

Lattice parameters (Å, degrees): 5.862 11.496 6.666 83.68 63.91 75.23
Fractional positions:
Dy  0.500  0.000  0.000
Dy  0.064  0.683  0.189
Dy  0.368  0.499  0.765
Dy  0.632  0.501  0.235
Dy  0.212  0.076  0.500
Dy  0.788  0.924  0.500
Dy  0.936  0.317  0.811
Er  0.000  0.000  0.000
Tb  0.763  0.676  0.797
Tb  0.237  0.324  0.203
Tb  0.639  0.224  0.497
Tb  0.361  0.776  0.503

As for the crystal system: monoclinic. As for the space group: C2/m.

Model x:
This record from the Alexandria database describes a geometry-optimized Tb4Dy7Er structure. The functional is GGA-PBE.

Lattice parameters (Å, degrees): 6.757 6.466 11.642 75.28 50.60 82.21
Fractional positions:
Dy  0.196  0.487  0.052
Dy  0.804  0.513  0.948
Dy  0.719  0.192  0.387
Dy  0.059  0.314  0.641
Dy  0.500  0.000  0.000
Dy  0.941  0.686  0.359
Dy  0.281  0.808  0.613
Tb  0.306  0.159  0.310
Tb  0.524  0.640  0.283
Tb  0.694  0.841  0.690
Tb  0.476  0.360  0.717
Er  0.000  0.000  0.000

As for the crystal system: triclinic. As for the space group: P-1.

model x (199 meV/atom below the next structure)

Model w:
This record from the Alexandria database describes a geometry-optimized Tb9DyEr2 structure. The functional is GGA-PBE.

Lattice parameters (Å, degrees): 5.012 5.012 15.026 90.00 90.00 90.00
Fractional positions:
Er  0.000  0.000  0.334
Er  0.000  0.000  0.666
Tb  0.000  0.500  0.500
Tb  0.000  0.500  0.833
Tb  0.000  0.500  0.167
Tb  0.500  0.500  0.334
Tb  0.500  0.000  0.833
Tb  0.500  0.500  0.000
Tb  0.500  0.500  0.666
Tb  0.500  0.000  0.500
Tb  0.500  0.000  0.167
Dy  0.000  0.000  0.000

As for the crystal system: tetragonal. As for the space group: P4/mmm.

Model x:
This record from the Alexandria database describes a geometry-optimized Tb9DyEr2 structure. The functional is GGA-PBE.

Lattice parameters (Å, degrees): 3.485 11.193 11.193 120.00 90.00 90.00
Fractional positions:
Tb  0.500  0.648  0.824
Tb  0.500  0.352  0.176
Tb  0.000  0.000  0.500
Tb  0.500  0.176  0.824
Tb  0.500  0.176  0.352
Tb  0.500  0.824  0.648
Tb  0.500  0.824  0.176
Tb  0.000  0.500  0.500
Tb  0.000  0.500  0.000
Er  0.000  0.333  0.667
Er  0.000  0.667  0.333
Dy  0.000  0.000  0.000

As for the crystal system: hexagonal. As for the space group: P6/mmm.

model w (27 meV/atom below the next structure)

Model w:
This record from the Alexandria database describes a geometry-optimized Tb2DyEr7 structure. The functional is GGA-PBE.

Lattice parameters (Å, degrees): 6.075 7.866 11.115 135.12 56.80 121.04
Fractional positions:
Er  0.000  0.600  0.400
Er  0.500  0.700  0.801
Er  0.500  0.300  0.199
Er  0.000  0.200  0.800
Er  0.500  0.500  0.000
Er  0.000  0.400  0.600
Er  0.000  0.800  0.200
Tb  0.500  0.100  0.399
Tb  0.500  0.900  0.601
Dy  0.000  0.000  0.000

As for the crystal system: triclinic. As for the space group: P-1.

Model x:
This record from the Alexandria database describes a geometry-optimized Tb2DyEr7 structure. The functional is GGA-PBE.

Lattice parameters (Å, degrees): 5.076 9.612 9.612 126.93 90.00 90.00
Fractional positions:
Tb  0.500  0.299  0.701
Tb  0.500  0.701  0.299
Er  0.000  0.805  0.195
Er  0.500  0.713  0.928
Er  0.500  0.928  0.713
Er  0.500  0.287  0.072
Er  0.500  0.072  0.287
Er  0.000  0.195  0.805
Er  0.500  0.500  0.500
Dy  0.000  0.000  0.000

As for the crystal system: orthorhombic. As for the space group: Cmmm.

model w (684 meV/atom below the next structure)

Model w:
This record from the Alexandria database describes a geometry-optimized Tb4Dy4Er3 structure. The functional is GGA-PBE.

Lattice parameters (Å, degrees): 3.498 5.561 17.944 81.06 84.39 90.00
Fractional positions:
Er  0.863  0.363  0.273
Er  0.137  0.637  0.727
Er  0.000  0.000  0.000
Dy  0.267  0.267  0.466
Dy  0.733  0.733  0.534
Dy  0.590  0.091  0.819
Dy  0.410  0.909  0.181
Tb  0.319  0.820  0.360
Tb  0.454  0.453  0.092
Tb  0.681  0.180  0.640
Tb  0.546  0.547  0.908

As for the crystal system: triclinic. As for the space group: P-1.

Model x:
This record from the Alexandria database describes a geometry-optimized Tb4Dy4Er3 structure. The functional is GGA-PBE.

Lattice parameters (Å, degrees): 3.561 9.270 11.798 113.13 98.68 90.00
Fractional positions:
Er  0.892  0.892  0.783
Er  0.000  0.500  0.000
Er  0.108  0.108  0.217
Dy  0.741  0.241  0.482
Dy  0.500  0.184  0.000
Dy  0.500  0.816  0.000
Dy  0.259  0.759  0.518
Tb  0.356  0.177  0.713
Tb  0.644  0.465  0.287
Tb  0.356  0.535  0.713
Tb  0.644  0.823  0.287

As for the crystal system: orthorhombic. As for the space group: Immm.

model w (70 meV/atom below the next structure)

Model w:
This record from the Alexandria database describes a geometry-optimized Tb4Dy3Er5 structure. The functional is GGA-PBE.

Lattice parameters (Å, degrees): 5.837 8.457 9.557 105.83 72.22 69.81
Last column: magnetic moment on the atom in μB.
Fractional positions:
Dy  0.000  0.500  0.500  0.19
Dy  0.523  0.686  0.267  0.01
Dy  0.477  0.314  0.733  0.01
Er  0.786  0.541  0.886  0.01
Er  0.214  0.459  0.114  0.01
Er  0.627  0.946  0.800  0.01
Er  0.500  0.500  0.500  0.19
Er  0.373  0.054  0.200  0.01
Tb  0.860  0.222  0.058  0.01
Tb  0.166  0.047  0.620  0.00
Tb  0.834  0.953  0.380  0.00
Tb  0.140  0.778  0.942  0.01

As for the crystal system: monoclinic. As for the space group: C2/m.

Model x:
This record from the Alexandria database describes a geometry-optimized Tb4Dy3Er5 structure. The functional is GGA-PBE.

Lattice parameters (Å, degrees): 7.053 11.143 12.706 151.29 56.34 129.27
Fractional positions:
Er  0.249  0.500  0.000
Er  0.333  0.666  0.834
Er  0.751  0.500  0.000
Er  0.500  0.000  0.500
Er  0.667  0.334  0.166
Dy  0.000  0.000  0.500
Dy  0.583  0.166  0.333
Dy  0.417  0.834  0.667
Tb  0.917  0.834  0.667
Tb  0.083  0.166  0.333
Tb  0.833  0.665  0.833
Tb  0.167  0.335  0.167

As for the crystal system: triclinic. As for the space group: P-1.

model x (225 meV/atom below the next structure)

Model w:
This record from the Alexandria database describes a geometry-optimized Tb7DyEr3 structure. The functional is GGA-PBE.

Lattice parameters (Å, degrees): 8.536 7.029 7.029 120.00 90.00 90.00
Fractional positions:
Er  0.783  0.500  0.500
Er  0.783  0.500  0.000
Er  0.783  0.000  0.500
Tb  0.115  0.168  0.832
Tb  0.452  0.832  0.664
Tb  0.115  0.168  0.336
Tb  0.115  0.664  0.832
Tb  0.452  0.336  0.168
Tb  0.452  0.832  0.168
Tb  0.121  0.667  0.333
Dy  0.445  0.333  0.667

As for the crystal system: trigonal. As for the space group: P3m1.

Model x:
This record from the Alexandria database describes a geometry-optimized Tb7DyEr3 structure. The functional is GGA-PBE.

Lattice parameters (Å, degrees): 8.868 9.838 5.512 89.99 128.43 105.82
Fractional positions:
Er  0.221  0.001  0.721
Er  0.000  0.500  0.000
Er  0.779  0.999  0.279
Tb  0.178  0.358  0.678
Tb  0.918  0.831  0.918
Tb  0.500  0.000  0.500
Tb  0.353  0.709  0.853
Tb  0.082  0.169  0.082
Tb  0.647  0.291  0.147
Tb  0.822  0.642  0.322
Dy  0.500  0.500  0.500

As for the crystal system: monoclinic. As for the space group: P2/m.

model x (52 meV/atom below the next structure)

Model w:
This record from the Alexandria database describes a geometry-optimized Tb2DyEr8 structure. The functional is GGA-PBE.

Lattice parameters (Å, degrees): 6.435 9.136 9.136 42.49 72.02 72.02
Fractional positions:
Er  0.245  0.440  0.440
Er  0.311  0.342  0.861
Er  0.669  0.209  0.209
Er  0.689  0.658  0.139
Er  0.311  0.861  0.342
Er  0.755  0.560  0.560
Er  0.689  0.139  0.658
Er  0.331  0.791  0.791
Tb  0.894  0.719  0.719
Tb  0.106  0.281  0.281
Dy  0.000  0.000  0.000

As for the crystal system: monoclinic. As for the space group: C2/m.

Model x:
This record from the Alexandria database describes a geometry-optimized Tb2DyEr8 structure. The functional is GGA-PBE.

Lattice parameters (Å, degrees): 5.823 8.976 9.281 61.08 73.68 54.46
Fractional positions:
Er  0.192  0.902  0.757
Er  0.500  0.204  0.592
Er  0.808  0.098  0.243
Er  0.291  0.440  0.000
Er  0.709  0.560  0.000
Er  0.500  0.796  0.408
Er  0.192  0.659  0.243
Er  0.808  0.341  0.757
Tb  0.000  0.309  0.382
Tb  0.000  0.691  0.618
Dy  0.500  0.000  0.000

As for the crystal system: monoclinic. As for the space group: C2/m.

model x (29 meV/atom below the next structure)

Model w:
This record from the Alexandria database describes a geometry-optimized Tb2Dy7Er structure. The functional is GGA-PBE.

Lattice parameters (Å, degrees): 6.123 9.350 6.112 108.98 80.33 77.38
Fractional positions:
Dy  0.000  0.199  0.600
Dy  0.500  0.100  0.800
Dy  0.500  0.900  0.200
Dy  0.001  0.400  0.200
Dy  0.000  0.801  0.400
Dy  0.999  0.600  0.800
Dy  0.500  0.500  0.000
Tb  0.501  0.300  0.400
Tb  0.499  0.700  0.600
Er  0.000  0.000  0.000

As for the crystal system: triclinic. As for the space group: P-1.

Model x:
This record from the Alexandria database describes a geometry-optimized Tb2Dy7Er structure. The functional is GGA-PBE.

Lattice parameters (Å, degrees): 5.106 9.657 9.657 126.98 90.00 90.00
Fractional positions:
Dy  0.500  0.073  0.287
Dy  0.500  0.927  0.713
Dy  0.000  0.195  0.805
Dy  0.500  0.287  0.073
Dy  0.500  0.713  0.927
Dy  0.000  0.805  0.195
Dy  0.500  0.500  0.500
Tb  0.500  0.702  0.298
Tb  0.500  0.298  0.702
Er  0.000  0.000  0.000

As for the crystal system: orthorhombic. As for the space group: Cmmm.

model w (674 meV/atom below the next structure)

Model w:
This record from the Alexandria database describes a geometry-optimized Tb5Dy4Er3 structure. The functional is GGA-PBE.

Lattice parameters (Å, degrees): 5.836 8.520 9.549 106.03 72.21 69.97
Last column: magnetic moment on the atom in μB.
Fractional positions:
Er  0.521  0.688  0.270  0.01
Er  0.000  0.500  0.500  0.17
Er  0.479  0.312  0.730  0.01
Tb  0.787  0.540  0.886  0.01
Tb  0.213  0.460  0.114  0.01
Tb  0.500  0.500  0.500  0.15
Tb  0.627  0.947  0.798  0.01
Tb  0.373  0.053  0.202  0.01
Dy  0.836  0.949  0.378  0.00
Dy  0.141  0.778  0.940  0.00
Dy  0.164  0.051  0.622  0.00
Dy  0.859  0.222  0.060  0.00

As for the crystal system: monoclinic. As for the space group: C2/m.

Model x:
This record from the Alexandria database describes a geometry-optimized Tb5Dy4Er3 structure. The functional is GGA-PBE.

Lattice parameters (Å, degrees): 7.067 11.168 12.734 151.29 56.35 129.28
Fractional positions:
Dy  0.916  0.833  0.666
Dy  0.084  0.167  0.334
Dy  0.166  0.332  0.166
Dy  0.834  0.668  0.834
Er  0.416  0.833  0.667
Er  0.584  0.167  0.333
Er  0.000  0.000  0.500
Tb  0.250  0.501  0.001
Tb  0.500  0.000  0.500
Tb  0.750  0.499  0.999
Tb  0.334  0.667  0.833
Tb  0.666  0.333  0.167

As for the crystal system: triclinic. As for the space group: P-1.

model x (223 meV/atom below the next structure)

Model w:
This record from the Alexandria database describes a geometry-optimized Tb8Dy4Er3 structure. The functional is GGA-PBE.

Lattice parameters (Å, degrees): 6.892 6.892 12.357 73.81 73.81 60.00
Fractional positions:
Dy  0.664  0.664  0.009
Dy  0.336  0.336  0.991
Dy  0.000  0.000  0.000
Dy  0.500  0.500  0.500
Er  0.000  0.000  0.500
Er  0.500  0.000  0.500
Er  0.000  0.500  0.500
Tb  0.750  0.248  0.252
Tb  0.248  0.750  0.252
Tb  0.250  0.250  0.748
Tb  0.750  0.750  0.252
Tb  0.755  0.755  0.735
Tb  0.752  0.250  0.748
Tb  0.250  0.752  0.748
Tb  0.245  0.245  0.265

As for the crystal system: trigonal. As for the space group: R-3m.

Model x:
This record from the Alexandria database describes a geometry-optimized Tb8Dy4Er3 structure. The functional is GGA-PBE.

Lattice parameters (Å, degrees): 6.718 9.204 9.204 87.37 111.42 111.42
Fractional positions:
Tb  0.995  0.731  0.731
Tb  0.005  0.269  0.269
Tb  0.527  0.266  0.266
Tb  0.000  0.643  0.357
Tb  0.500  0.252  0.748
Tb  0.473  0.734  0.734
Tb  0.000  0.357  0.643
Tb  0.500  0.748  0.252
Er  0.500  0.000  0.500
Er  0.500  0.500  0.000
Er  0.500  0.500  0.500
Dy  0.500  0.000  0.000
Dy  0.000  0.500  0.000
Dy  0.000  0.000  0.500
Dy  0.000  0.000  0.000

As for the crystal system: monoclinic. As for the space group: C2/m.

model w (253 meV/atom below the next structure)